The following is a PBE calculation of an optimized crystal structure of Ni4AsS2, from Alexandria.

E_form (uncorrected) ... 407 meV per atom
Raw total energy ... -4.740 eV per atom
Magnetic moment ... 0.00 μB/f.u.

Cell lengths 4.4288, 4.4288, 11.6353 Å; angles 90.00, 90.00, 90.00 degrees
Space group I4/mmm (No. 139)
Asymmetric unit:
Ni (0.0000, 0.0000, 0.1965)
Ni (0.0000, 0.5000, 0.0000)
As (0.0000, 0.0000, 0.0000)
S (0.0000, 0.0000, 0.3751)